Crystalline Hf2AlAu at its relaxed geometry, computed with PBE.

a = 6.7783 Å, b = 6.7783 Å, c = 6.7783 Å
α = 90.00°, β = 90.00°, γ = 90.00°
Space group F-43m (No. 216)
One atom of each set of equivalent atoms:
Hf  0.0000  0.0000  0.0000 [4 per cell]
Hf  0.2500  0.2500  0.2500 [4 per cell]
Al  0.0000  0.0000  0.5000 [4 per cell]
Au  0.2500  0.2500  0.7500 [4 per cell]

## Properties
magnetization = 7.54 μB/cell
energy = -6.698 eV per atom
mass density = 12.4 g/cm3

Crystalline Hf2Al2Au at its relaxed geometry, computed with PBE.

a = 4.1189 Å, b = 4.1189 Å, c = 12.4776 Å
α = 90.00°, β = 90.00°, γ = 90.00°
Space group I4/mmm (No. 139)
One atom of each set of equivalent atoms:
Hf  0.0000  0.5000  0.2500 [4 per cell]
Al  0.0000  0.0000  0.0958 [4 per cell]
Au  0.0000  0.0000  0.5000 [2 per cell]

## Properties
magnetization = 0.00 μB/cell
energy = -5.804 eV per atom
mass density = 9.5 g/cm3

Crystalline HoHfAl2Au4 at its relaxed geometry, computed with PBE.

a = 4.5260 Å, b = 4.5260 Å, c = 8.7622 Å
α = 90.00°, β = 90.00°, γ = 120.00°
Space group P-6m2 (No. 187)
One atom of each set of equivalent atoms:
Ho  0.0000  0.0000  0.0000 [1 per cell]
Hf  0.3333  0.6667  0.5000 [1 per cell]
Al  0.6667  0.3333  0.3002 [2 per cell]
Au  0.0000  0.0000  0.3388 [2 per cell]
Au  0.3333  0.6667  0.1670 [2 per cell]

## Properties
magnetization = 0.01 μB/cell
energy = -5.022 eV per atom
mass density = 12.7 g/cm3